A geometry-optimized K2AlP structure. Source: Alexandria, functional GGA-PBE.

Cell lengths 6.9983, 4.0409, 10.0443 Å; angles 90.00, 102.91, 90.00 degrees
Space group Cm (No. 8)
One atom of each set of equivalent atoms:
K: 0.0000 0.0000 0.0000 x2
K: 0.1833 0.0000 0.5757 x2
Al: 0.2503 0.5000 0.2638 x2
P: 0.4415 0.0000 0.3405 x2

E above lowest polymorph	0.15	eV/f.u.
energy relative to the elements	-198.3	meV per atom